The following is a DFT calculation (PBE+U) of a relaxed Pm3Co5O12 crystal.

POSCAR file:
```
Pm3Co5O12
1.0
3.952 -5.401 -8.302
7.361 0.577 7.695
-8.643 -5.020 3.717
Co Pm O
20 12 48
direct
0.375 0.250 0.625
0.125 0.750 0.875
0.750 0.375 0.625
0.875 0.250 0.125
0.000 0.000 0.000
0.125 0.875 0.250
0.250 0.125 0.875
0.625 0.375 0.250
0.750 0.875 0.125
0.375 0.625 0.750
0.625 0.750 0.375
0.500 0.500 0.500
0.000 0.000 0.500
0.875 0.125 0.750
0.000 0.500 0.000
0.500 0.500 0.000
0.000 0.500 0.500
0.500 0.000 0.500
0.500 0.000 0.000
0.250 0.625 0.375
0.250 0.875 0.625
0.750 0.625 0.875
0.625 0.875 0.750
0.375 0.125 0.250
0.125 0.250 0.375
0.625 0.250 0.875
0.875 0.750 0.625
0.750 0.125 0.375
0.375 0.750 0.125
0.875 0.625 0.250
0.125 0.375 0.750
0.250 0.375 0.125
0.175 0.198 0.581
0.117 0.594 0.919
0.094 0.617 0.419
0.477 0.594 0.175
0.617 0.419 0.094
0.825 0.802 0.419
0.883 0.977 0.802
0.406 0.825 0.523
0.175 0.477 0.594
0.675 0.094 0.977
0.302 0.477 0.383
0.383 0.302 0.477
0.477 0.383 0.302
0.419 0.825 0.802
0.919 0.302 0.325
0.594 0.919 0.117
0.698 0.523 0.617
0.883 0.406 0.081
0.081 0.883 0.406
0.617 0.698 0.523
0.419 0.094 0.617
0.977 0.675 0.094
0.802 0.419 0.825
0.825 0.523 0.406
0.198 0.117 0.023
0.977 0.802 0.883
0.198 0.581 0.175
0.406 0.081 0.883
0.081 0.698 0.675
0.117 0.023 0.198
0.094 0.977 0.675
0.302 0.325 0.919
0.675 0.081 0.698
0.523 0.617 0.698
0.581 0.906 0.383
0.023 0.198 0.117
0.906 0.383 0.581
0.581 0.175 0.198
0.698 0.675 0.081
0.383 0.581 0.906
0.325 0.906 0.023
0.325 0.919 0.302
0.023 0.325 0.906
0.523 0.406 0.825
0.906 0.023 0.325
0.594 0.175 0.477
0.919 0.117 0.594
0.802 0.883 0.977
```

Symmetry: Ia-3d
VASP energy, eV per atom: -6.843